VASP calculation (PBE) on a relaxed structure of SmHoU. Values from VASP.

- Excess energy over the best structure of this formula in the dataset: 0.0 meV/atom
- Total energy: -5.583 eV/atom
- ΔE_f: 1.2787 eV/atom

```
&SYSTEM
  ibrav = 0, nat = 3, ntyp = 3
/
ATOMIC_SPECIES
Ho 164.93 Ho.upf
Sm 150.36 Sm.upf
U 238.03 U.upf
CELL_PARAMETERS angstrom
2.632 1.520 4.298
-2.632 1.520 4.298
0.000 -3.039 4.298
ATOMIC_POSITIONS angstrom
Ho 0.000 0.000 0.000
Sm 0.000 0.000 9.671
U 0.000 0.000 3.224
```